# HoFeGe | the Alexandria database | PBE-GGA | relaxed
# - VASP energy (Ha/atom) = -0.23159
# - spin magnetization (μB per cell) = 1.6
data_HoFeGe
_chemical_formula_sum 'Ho1 Fe1 Ge1'
_cell_length_a 4.1632
_cell_length_b 4.1632
_cell_length_c 3.7386
_cell_angle_alpha 90.00
_cell_angle_beta 90.00
_cell_angle_gamma 120.00
_space_group_name_H-M_alt 'P -6 m 2'
_space_group_IT_number 187
_space_group_name_Hall 'P -6 2'
loop_
_atom_site_label
_atom_site_type_symbol
_atom_site_fract_x
_atom_site_fract_y
_atom_site_fract_z
Ho1 Ho 0.0000 0.0000 0.0000
Fe1 Fe 0.6667 0.3333 0.5000
Ge1 Ge 0.3333 0.6667 0.5000